Ba2RuC PBE relaxed; E_tot = -42.757 eV for the cell shown; mass density = 4996 kg/m³; D(E_F) = 7.1 states/eV per cell; formation energy from the elements = 93 kJ/mol of formula units
1.0
-5.7172 5.7172 1.9715
5.7172 -5.7172 1.9715
5.7172 5.7172 -1.9715
Ba Ru C
4 2 2
Cartesian
0.5545 2.8586 0.4929
-2.8586 5.1627 1.4786
-0.5545 8.5758 0.4929
2.8586 6.2717 1.4786
5.7172 0.0000 0.9857
0.0000 0.0000 1.9715
0.0000 0.0000 0.0000
0.0000 5.7172 0.9857